Entry from Alexandria via LeMat-Bulk: a relaxed Cr2ReSb crystal (PBE-GGA).

The value obtained for the uncorrected formation energy is 175 kJ/mol of formula units. The value obtained for the total energy is -8.50 eV per atom. The value obtained for the volume is 61 Å³/cell.

Unit cell a=3.958 b=2.911 c=5.730 alpha=67.16 beta=90.00 gamma=90.00
Element x y z (fractional)
Cr1 0.000 0.092 0.029
Cr2 0.500 0.208 0.253
Re1 0.000 0.445 0.457
Sb1 0.500 0.755 0.761